Here is an optimized crystal structure of CrTe2Au from the Alexandria database. Energies are from PBE.

Output
Polymorph energy (0 for the lowest one) in meV per atom: 0.0
Calculated volume in A^3/atom: 28.64
Calculated total energy in eV per atom: -4.92
Symmetry: No. 166
Formation energy from raw total energies in eV/atom: -0.12

Lattice parameters (Å, degrees): 8.377 8.377 8.377 28.02 28.02 28.02
Atoms (fractional coordinates):
Cr  0.500  0.500  0.500
Te  0.892  0.892  0.892
Te  0.108  0.108  0.108
Au  0.000  0.000  0.000


Here is an optimized crystal structure of CrTe2Au from the Alexandria database. Energies are from PBE.

Output
Polymorph energy (0 for the lowest one) in meV per atom: 165.0
Calculated volume in A^3/atom: 24.55
Calculated total energy in eV per atom: -4.75
Symmetry: No. 1
Formation energy from raw total energies in eV/atom: 0.05

Lattice parameters (Å, degrees): 7.205 7.594 4.033 89.13 110.15 107.65
Atoms (fractional coordinates):
Te  0.288  0.486  0.072
Te  0.696  0.498  0.784
Te  0.336  0.989  0.539
Te  0.739  0.945  0.279
Cr  0.726  0.173  0.760
Cr  0.548  0.242  0.180
Au  0.989  0.384  0.388
Au  0.100  0.102  0.861